Computed, not measured: a relaxed structure of SrZr2InC at the PBE-GGA level of DFT.

Summary:
Its energy is -22.6 eV/f.u. The space group is P4/mmm. As for the energy relative to the elements: 1.626 eV/atom. The calculation puts the density of states at the Fermi level at 6.94 states/eV/cell.

a = 5.668 Å, b = 4.298 Å, c = 5.668 Å
α = 90.00°, β = 90.00°, γ = 90.00°
Each line ends with the local moment (μB).
Fractional coordinates of all 5 atoms:
Sr  0.500  0.500  0.500  0.09
Zr  0.500  0.000  0.000  0.38
Zr  0.000  0.000  0.500  0.46
C  0.000  0.500  0.000  -0.01
In  0.000  0.000  0.000  0.04